Record 1
The following is a DFT calculation (PBE) of a geometry-optimized Ba2TaP6W structure.

- total DFT energy (no corrections) (eV per atom) = -6.550

Cell: 6.885 6.885 6.885 Å, 120.02 120.02 89.96°
Fractional coordinates of all 10 atoms:
P 0.757 0.748 0.505
Ba 0.750 0.250 0.500
Ta 0.500 0.500 0.000
P 0.748 0.243 0.991
P 0.752 0.752 0.000
Ba 0.250 0.750 0.500
P 0.243 0.252 0.495
W 0.000 0.000 0.000
P 0.252 0.757 0.009
P 0.248 0.248 0.000

***

Record 2
The following is a DFT calculation (PBE) of a geometry-optimized Ag2HgWSe3S structure.

- total DFT energy (no corrections) (eV per atom) = -4.304

Cell: 6.548 6.548 6.887 Å, 117.88 117.88 90.07°
Fractional coordinates of all 8 atoms:
Hg 0.005 0.005 0.002
Ag 0.255 0.737 0.490
Se 0.578 0.162 0.744
S 0.424 0.424 0.255
Ag 0.737 0.255 0.490
Se 0.162 0.578 0.744
Se 0.838 0.838 0.265
W 0.500 0.500 0.010

***

Record 3
The following is a DFT calculation (PBE) of a geometry-optimized GdErCo2Si4 structure.

- total DFT energy (no corrections) (eV per atom) = -6.423

Cell: 3.961 8.376 8.376 Å, 27.76 90.00 90.00°
Fractional coordinates of all 8 atoms:
Gd 0.500 0.107 0.107
Er 0.000 0.892 0.892
Si 0.500 0.751 0.751
Co 0.500 0.321 0.321
Si 0.500 0.457 0.457
Si 0.000 0.542 0.542
Si 0.000 0.251 0.251
Co 0.000 0.679 0.679

***

Record 4
The following is a DFT calculation (PBE) of a geometry-optimized LiHgB2 structure.

- total DFT energy (no corrections) (eV per atom) = -2.629

Cell: 4.073 4.073 4.073 Å, 60.00 60.00 60.00°
Fractional coordinates of all 4 atoms:
B 0.250 0.250 0.250
B 0.000 0.000 0.000
Hg 0.500 0.500 0.500
Li 0.750 0.750 0.750

***

Record 5
The following is a DFT calculation (PBE) of a geometry-optimized BaLu2Te4 structure.

- total DFT energy (no corrections) (eV per atom) = -4.859

Cell: 13.671 4.423 16.080 Å, 90.00 90.00 90.00°
Fractional coordinates of all 28 atoms:
Te 0.090 0.250 0.075
Te 0.296 0.250 0.343
Te 0.704 0.750 0.657
Te 0.796 0.250 0.157
Lu 0.942 0.750 0.110
Ba 0.738 0.250 0.830
Te 0.472 0.250 0.784
Lu 0.081 0.250 0.404
Te 0.528 0.750 0.216
Te 0.972 0.250 0.716
Lu 0.558 0.250 0.610
Ba 0.238 0.250 0.670
Lu 0.919 0.750 0.596
Te 0.910 0.750 0.925
Ba 0.762 0.750 0.330
Te 0.125 0.750 0.528
Te 0.028 0.750 0.284
Te 0.625 0.750 0.972
Te 0.204 0.750 0.843
Lu 0.442 0.750 0.390
Ba 0.262 0.750 0.170
Lu 0.581 0.250 0.096
Lu 0.419 0.750 0.904
Lu 0.058 0.250 0.890
Te 0.375 0.250 0.028
Te 0.410 0.750 0.575
Te 0.875 0.250 0.472
Te 0.590 0.250 0.425

***

Record 6
The following is a DFT calculation (PBE) of a geometry-optimized ZnAsPO structure.

- total DFT energy (no corrections) (eV per atom) = -4.348

Cell: 4.246 4.246 7.839 Å, 90.00 90.00 90.00°
Fractional coordinates of all 8 atoms:
As 0.000 0.000 0.500
O 0.500 0.500 0.000
Zn 0.000 0.500 0.978
P 0.500 0.000 0.354
P 0.000 0.500 0.646
Zn 0.500 0.000 0.022
O 0.000 0.000 0.000
As 0.500 0.500 0.500

***

Record 7
The following is a DFT calculation (PBE) of a geometry-optimized TbHo3C2Se2 structure.

- total DFT energy (no corrections) (eV per atom) = -6.628

Cell: 3.749 3.749 13.244 Å, 90.00 90.00 120.00°
Fractional coordinates of all 8 atoms:
Se 0.667 0.333 0.252
Tb 0.333 0.667 0.100
Ho 0.333 0.667 0.401
Ho 0.667 0.333 0.600
Se 0.333 0.667 0.750
C 0.000 0.000 0.500
Ho 0.667 0.333 0.899
C 0.000 0.000 0.998

***

Record 8
The following is a DFT calculation (PBE) of a geometry-optimized SmTlCdSe3 structure.

- total DFT energy (no corrections) (eV per atom) = -4.121

Cell: 4.389 12.231 12.772 Å, 90.00 90.00 90.00°
Fractional coordinates of all 24 atoms:
Se 0.750 0.269 0.678
Cd 0.250 0.749 0.702
Se 0.250 0.231 0.178
Cd 0.250 0.249 0.798
Se 0.750 0.091 0.437
Sm 0.250 0.973 0.329
Tl 0.250 0.839 0.999
Se 0.250 0.909 0.563
Se 0.250 0.034 0.832
Tl 0.750 0.661 0.499
Sm 0.750 0.527 0.829
Tl 0.250 0.339 0.501
Se 0.750 0.966 0.168
Se 0.750 0.591 0.063
Se 0.250 0.534 0.668
Cd 0.750 0.751 0.202
Se 0.250 0.731 0.322
Se 0.250 0.409 0.937
Sm 0.750 0.027 0.671
Sm 0.250 0.473 0.171
Tl 0.750 0.161 0.001
Cd 0.750 0.251 0.298
Se 0.750 0.466 0.332
Se 0.750 0.769 0.822